UBi2Sb | PBE | optimized geometry

## Properties
energy above the most stable polymorph in this dataset: 0.0 meV per atom
raw formation energy: 0.01 eV per atom
total magnetization: 2.463 μB per formula unit

Lattice parameters (Å, degrees): 5.088 4.728 4.728 90.00 90.00 90.00
Last column: magnetic moment on the atom in μB.
Element x y z (fractional)
Sb (0.500, 0.500, 0.500)  -0.03
U (0.500, 0.000, 0.000)  2.41
Bi (0.000, 0.000, 0.500)  -0.03
Bi (0.000, 0.500, 0.000)  -0.03

***

UBiSb2 | PBE | optimized geometry

## Properties
energy above the most stable polymorph in this dataset: 10.0 meV per atom
raw formation energy: -0.05 eV per atom
total magnetization: 2.345 μB per formula unit

Lattice parameters (Å, degrees): 4.090 4.090 6.530 90.00 90.00 90.00
Last column: magnetic moment on the atom in μB.
Element x y z (fractional)
Sb (0.000, 0.000, 0.729)  -0.04
Sb (0.000, 0.000, 0.271)  -0.04
U (0.500, 0.500, 0.500)  2.17
Bi (0.500, 0.500, 0.000)  0.02

***

V2Bi2Sb | PBE | optimized geometry

## Properties
energy above the most stable polymorph in this dataset: 62.8 meV per atom
raw formation energy: 0.63 eV per atom
total magnetization: 3.850 μB per formula unit

Lattice parameters (Å, degrees): 5.127 5.127 6.130 65.28 65.28 90.00
Last column: magnetic moment on the atom in μB.
Element x y z (fractional)
Sb (0.000, 0.000, 0.000)  -0.14
Bi (0.351, 0.351, 0.298)  -0.12
Bi (0.649, 0.649, 0.702)  -0.12
V (0.750, 0.250, 0.500)  1.92
V (0.250, 0.750, 0.500)  1.92

***

V2Bi2Sb | PBE | optimized geometry

## Properties
energy above the most stable polymorph in this dataset: 0.0 meV per atom
raw formation energy: 0.56 eV per atom
total magnetization: 5.854 μB per formula unit

Lattice parameters (Å, degrees): 8.667 8.667 3.269 90.00 90.00 90.00
Last column: magnetic moment on the atom in μB.
Element x y z (fractional)
Sb (0.000, 0.000, 0.000)  -0.03
Sb (0.500, 0.500, 0.000)  -0.03
Bi (0.348, 0.848, 0.000)  -0.10
Bi (0.848, 0.652, 0.000)  -0.10
Bi (0.652, 0.152, 0.000)  -0.10
Bi (0.152, 0.348, 0.000)  -0.10
V (0.144, 0.644, 0.500)  2.56
V (0.644, 0.856, 0.500)  2.56
V (0.856, 0.356, 0.500)  2.56
V (0.356, 0.144, 0.500)  2.56

***

V3BiSb | PBE | optimized geometry

## Properties
energy above the most stable polymorph in this dataset: 0.0 meV per atom
raw formation energy: 1.00 eV per atom
total magnetization: 9.040 μB per formula unit

Lattice parameters (Å, degrees): 5.079 5.079 5.079 90.00 90.00 90.00
Last column: magnetic moment on the atom in μB.
Element x y z (fractional)
Sb (0.000, 0.000, 0.000)  -0.12
Bi (0.500, 0.500, 0.500)  -0.36
V (0.000, 0.500, 0.000)  2.64
V (0.000, 0.000, 0.500)  2.64
V (0.500, 0.000, 0.000)  2.64

***

VBi2Sb | PBE | optimized geometry

## Properties
raw formation energy: 0.55 eV per atom
total magnetization: 2.399 μB per formula unit

Lattice parameters (Å, degrees): 6.538 6.538 8.348 66.95 66.95 90.00
Last column: magnetic moment on the atom in μB.
Element x y z (fractional)
Sb (0.000, 0.000, 0.000)  0.05
Sb (0.750, 0.250, 0.500)  0.05
Bi (0.583, 0.125, 0.250)  -0.14
Bi (0.167, 0.625, 0.250)  -0.14
Bi (0.375, 0.417, 0.750)  -0.14
Bi (0.875, 0.833, 0.750)  -0.14
V (0.500, 0.500, 0.000)  2.25
V (0.250, 0.750, 0.500)  2.25

***

| no. | calculated total energy (eV per atom) |
| --- | --- |
| 1 | -5.7866 |
| 2 | -5.9081 |
| 3 | -5.3968 |
| 4 | -5.4596 |
| 5 | -6.0766 |
| 6 | -4.6973 |